[1]
Entry from Alexandria: a crystal of CrRe2Ag relaxed with PBEsol (SCAN).

Properties
The calculation puts the electronic total energy at -47.49 eV/atom. The density of states at the Fermi level comes out at 7.29 states/eV/cell. As for the crystal system: orthorhombic. The energy relative to the elements comes out at 0.498 eV/atom.

a = 2.868 Å, b = 4.428 Å, c = 9.109 Å
α = 90.00°, β = 90.00°, γ = 90.00°
Space group Immm (No. 71)
Inequivalent atoms, fractional coordinates:
1 Cr 0.000 0.000 0.000 (multiplicity 2)
2 Re 0.000 0.500 0.282 (multiplicity 4)
3 Ag 0.000 0.000 0.500 (multiplicity 2)

=====

[2]
Entry from Alexandria: a crystal of Cr2ReAg relaxed with PBEsol (SCAN).

Properties
The calculation puts the electronic total energy at -34.42 eV/atom. The density of states at the Fermi level comes out at 6.75 states/eV/cell. As for the crystal system: orthorhombic. The energy relative to the elements comes out at 0.390 eV/atom.

a = 3.003 Å, b = 4.246 Å, c = 8.560 Å
α = 90.00°, β = 90.00°, γ = 90.00°
Space group Cmmm (No. 65)
Inequivalent atoms, fractional coordinates:
1 Cr 0.000 0.000 0.235 (multiplicity 4)
2 Re 0.000 0.500 0.000 (multiplicity 2)
3 Ag 0.000 0.500 0.500 (multiplicity 2)

=====

[3]
Entry from Alexandria: a crystal of Cr2ReAg relaxed with PBEsol (SCAN).

Properties
The calculation puts the electronic total energy at -34.34 eV/atom. The density of states at the Fermi level comes out at 3.79 states/eV/cell. As for the crystal system: orthorhombic. The energy relative to the elements comes out at 0.472 eV/atom.

a = 2.769 Å, b = 3.691 Å, c = 5.496 Å
α = 90.00°, β = 90.00°, γ = 90.00°
Space group Pmmm (No. 47)
Inequivalent atoms, fractional coordinates:
1 Cr 0.000 0.000 0.198 (multiplicity 2)
2 Re 0.500 0.500 0.000 (multiplicity 1)
3 Ag 0.500 0.500 0.500 (multiplicity 1)

=====

[4]
Entry from Alexandria: a crystal of CrRe2Ag relaxed with PBEsol (SCAN).

Properties
The calculation puts the electronic total energy at -47.53 eV/atom. The density of states at the Fermi level comes out at 5.42 states/eV/cell. As for the crystal system: cubic. The energy relative to the elements comes out at 0.461 eV/atom.

a = 6.157 Å, b = 6.157 Å, c = 6.157 Å
α = 90.00°, β = 90.00°, γ = 90.00°
Space group F-43m (No. 216)
Inequivalent atoms, fractional coordinates:
1 Cr 0.000 0.000 0.000 (multiplicity 4)
2 Re 0.000 0.000 0.500 (multiplicity 4)
3 Re 0.250 0.250 0.750 (multiplicity 4)
4 Ag 0.250 0.250 0.250 (multiplicity 4)